DyAuI: optimized geometry, PBE-GGA.

Output
* calculated volume: 185 Å³ per cell
* raw formation energy: -847 meV/atom

a = 5.910 Å, b = 4.413 Å, c = 7.302 Å
α = 90.00°, β = 103.57°, γ = 90.00°
Fractional coordinates of all 6 atoms:
Dy (0.094, 0.250, 0.317)
Dy (0.906, 0.750, 0.683)
Au (0.339, 0.750, 0.527)
Au (0.661, 0.250, 0.473)
I (0.234, 0.250, 0.923)
I (0.766, 0.750, 0.077)